Computed, not measured: an optimized crystal structure of NbSiIr2 at the PBE level of DFT.

Properties
* energy: -8.2003 eV per atom
* raw formation energy: 0.103 eV per atom

CIF file:
```
data_NbSiIr2
_symmetry_space_group_name_H-M 'P 1'
_symmetry_Int_Tables_number 1
_symmetry_space_group_name_Hall 'P 1'
_cell_length_a 5.499
_cell_length_b 5.499
_cell_length_c 11.357
_cell_angle_alpha 90.00
_cell_angle_beta 90.00
_cell_angle_gamma 90.00
loop_
_atom_site_label
_atom_site_fract_x
_atom_site_fract_y
_atom_site_fract_z
_atom_site_occupancy
Nb1 0.000 0.000 0.000 1
Nb2 0.000 0.500 0.250 1
Nb3 0.500 0.000 0.750 1
Nb4 0.500 0.500 0.500 1
Si1 0.000 0.000 0.500 1
Si2 0.000 0.500 0.750 1
Si3 0.500 0.000 0.250 1
Si4 0.500 0.500 0.000 1
Ir1 0.220 0.250 0.625 1
Ir2 0.250 0.720 0.875 1
Ir3 0.250 0.780 0.375 1
Ir4 0.280 0.250 0.125 1
Ir5 0.720 0.750 0.125 1
Ir6 0.750 0.220 0.375 1
Ir7 0.750 0.280 0.875 1
Ir8 0.780 0.750 0.625 1
```